The following is a DFT calculation (PBE+U) of Li2MnVP2H2O10 after structural relaxation.

a = 5.375 Å, b = 7.401 Å, c = 10.291 Å
α = 104.74°, β = 100.65°, γ = 105.65°
Fractional coordinates of all 36 atoms:
Li (0.020, 0.446, 0.126)
Li (0.472, 0.039, 0.370)
Li (0.528, 0.961, 0.630)
Li (0.980, 0.554, 0.874)
Mn (0.000, 0.000, 0.500)
Mn (0.500, 0.000, 0.000)
V (0.000, 0.500, 0.500)
V (0.500, 0.500, 0.000)
P (0.023, 0.893, 0.158)
P (0.474, 0.613, 0.342)
P (0.526, 0.387, 0.658)
P (0.977, 0.107, 0.842)
H (0.114, 0.827, 0.680)
H (0.397, 0.675, 0.826)
H (0.603, 0.325, 0.174)
H (0.886, 0.173, 0.320)
O (0.069, 0.886, 0.308)
O (0.106, 0.326, 0.946)
O (0.135, 0.790, 0.584)
O (0.162, 0.983, 0.866)
O (0.189, 0.500, 0.351)
O (0.309, 0.992, 0.147)
O (0.326, 0.500, 0.627)
O (0.377, 0.702, 0.922)
O (0.421, 0.174, 0.558)
O (0.427, 0.605, 0.188)
O (0.573, 0.395, 0.812)
O (0.579, 0.826, 0.442)
O (0.623, 0.298, 0.078)
O (0.674, 0.500, 0.373)
O (0.691, 0.008, 0.853)
O (0.811, 0.500, 0.649)
O (0.838, 0.017, 0.134)
O (0.865, 0.210, 0.416)
O (0.894, 0.674, 0.054)
O (0.931, 0.114, 0.692)

Results
Total magnetic moment   10.00 μB/cell
Total energy   -6.749 eV per atom
Space group   P-1